Entry a
AgSb5: relaxed, GGA-PBE.

Cell lengths 9.9942, 9.9942, 4.0919 Å; angles 90.00, 90.00, 155.94 degrees
Last column: nearest neighbours and their distance in Å.
Sites, in units of the cell vectors:
Ag1 0.0000 0.0000 0.0000  8 Sb 2.92-3.21
Sb1 0.1911 0.8089 0.5000  6 Sb 3.11-3.19
Sb2 0.3749 0.6251 0.0000  6 Sb 3.19, 2 Ag 3.21
Sb3 0.5000 0.5000 0.5000  4 Ag 2.92, 4 Sb 3.19
Sb4 0.6251 0.3749 0.0000  6 Sb 3.19, 2 Ag 3.21
Sb5 0.8089 0.1911 0.5000  6 Sb 3.11-3.19

crystal system = orthorhombic

***

Entry b
AgSb5: relaxed, GGA-PBE.

Cell lengths 6.2234, 6.2234, 6.2234 Å; angles 60.00, 60.00, 60.00 degrees
Last column: nearest neighbours and their distance in Å.
Sites, in units of the cell vectors:
Ag1 0.0000 0.0000 0.0000  16 Sb 3.65-3.81
Sb1 0.3748 0.3748 0.3748  6 Sb 3.11-3.12
Sb2 0.3748 0.3748 0.8757  6 Sb 3.11-3.12
Sb3 0.3748 0.8757 0.3748  6 Sb 3.11-3.12
Sb4 0.7500 0.7500 0.7500  12 Sb 3.65, 4 Ag 3.81
Sb5 0.8757 0.3748 0.3748  6 Sb 3.11-3.12

crystal system = cubic

***

Entry c
AgSb5: relaxed, GGA-PBE.

Cell lengths 5.8551, 5.8551, 5.3140 Å; angles 90.00, 90.00, 120.00 degrees
Last column: nearest neighbours and their distance in Å.
Sites, in units of the cell vectors:
Ag1 0.0000 0.0000 0.0000  12 Sb 3.18-3.38
Sb1 0.0000 0.7004 0.5000  6 Sb 3.04-3.36, 2 Ag 3.18
Sb2 0.2996 0.2996 0.5000  6 Sb 3.04-3.36, 2 Ag 3.18
Sb3 0.3333 0.6667 0.0000  9 Sb 3.36-3.38, 3 Ag 3.38
Sb4 0.6667 0.3333 0.0000  9 Sb 3.36-3.38, 3 Ag 3.38
Sb5 0.7004 0.0000 0.5000  6 Sb 3.04-3.36, 2 Ag 3.18

crystal system = hexagonal

***

Entry d
AgSb5: relaxed, GGA-PBE.

Cell lengths 6.0858, 6.7944, 6.7944 Å; angles 37.29, 90.00, 90.00 degrees
Last column: nearest neighbours and their distance in Å.
Sites, in units of the cell vectors:
Ag1 0.0000 0.0000 0.0000  6 Sb 3.04-3.08
Sb1 0.0000 0.3304 0.3304  4 Sb 3.00-3.04, 2 Ag 3.08
Sb2 0.0000 0.6696 0.6696  4 Sb 3.00-3.04, 2 Ag 3.08
Sb3 0.5000 0.9996 0.9996  2 Ag 3.04, 4 Sb 3.07
Sb4 0.5000 0.3316 0.3316  6 Sb 3.03-3.07
Sb5 0.5000 0.6676 0.6676  6 Sb 3.03-3.07

crystal system = orthorhombic

***

Which of them is the least stable? Correct choice: entry b.

***

Entry a
AgSb5: relaxed, GGA-PBE.

Cell lengths 6.8615, 6.8615, 8.4553 Å; angles 111.14, 111.14, 26.46 degrees
Last column: nearest neighbours and their distance in Å.
Sites, in units of the cell vectors:
Ag1 0.0000 0.0000 0.0000  6 Sb 2.96-3.02, 2 Ag 3.14
Sb1 0.1656 0.1656 0.8344  7 Sb 3.02-3.27, 1 Ag 3.02
Sb2 0.3509 0.3509 0.7120  2 Ag 2.96, 4 Sb 3.02-3.14
Sb3 0.5000 0.5000 0.5000  8 Sb 3.13-3.27
Sb4 0.6491 0.6491 0.2880  2 Ag 2.96, 4 Sb 3.02-3.14
Sb5 0.8344 0.8344 0.1656  7 Sb 3.02-3.27, 1 Ag 3.02

crystal system = monoclinic

***

Entry b
AgSb5: relaxed, GGA-PBE.

Cell lengths 3.1927, 3.1927, 15.3995 Å; angles 90.00, 90.00, 90.00 degrees
Last column: nearest neighbours and their distance in Å.
Sites, in units of the cell vectors:
Ag1 0.0000 0.0000 0.0000  8 Sb 3.15, 4 Ag 3.19
Sb1 0.0000 0.0000 0.3268  8 Sb 3.19-3.49
Sb2 0.0000 0.0000 0.6732  8 Sb 3.19-3.49
Sb3 0.5000 0.5000 0.1427  4 Ag 3.15, 4 Sb 3.19
Sb4 0.5000 0.5000 0.5000  12 Sb 3.19-3.49
Sb5 0.5000 0.5000 0.8573  4 Ag 3.15, 4 Sb 3.19

crystal system = tetragonal

***

Which of them is the least stable? Correct choice: entry b.

***

Entry a
Ag4Sb: relaxed, GGA-PBE.

Cell lengths 5.2202, 5.2202, 5.2202 Å; angles 90.00, 90.00, 90.00 degrees
Last column: nearest neighbours and their distance in Å.
Sites, in units of the cell vectors:
Ag1 0.0000 0.0000 0.0000  12 Ag 3.69
Ag2 0.0000 0.5000 0.5000  2 Sb 2.61
Ag3 0.5000 0.0000 0.5000  2 Sb 2.61
Ag4 0.5000 0.5000 0.0000  2 Sb 2.61
Sb1 0.5000 0.5000 0.5000  6 Ag 2.61

crystal system = cubic

***

Entry b
Ag4Sb: relaxed, GGA-PBE.

Cell lengths 5.2177, 5.2177, 5.2177 Å; angles 99.89, 99.89, 131.04 degrees
Last column: nearest neighbours and their distance in Å.
Sites, in units of the cell vectors:
Ag1 0.1005 0.6942 0.7946  9 Ag 2.94-3.06, 3 Sb 2.98-3.06
Ag2 0.3058 0.1005 0.4063  9 Ag 2.94-3.06, 3 Sb 2.98-3.06
Ag3 0.6942 0.8995 0.5937  9 Ag 2.94-3.06, 3 Sb 2.98-3.06
Ag4 0.8995 0.3058 0.2054  9 Ag 2.94-3.06, 3 Sb 2.98-3.06
Sb1 0.5000 0.5000 0.0000  12 Ag 2.98-3.06

crystal system = tetragonal

***

Entry c
Ag4Sb: relaxed, GGA-PBE.

Cell lengths 4.8635, 5.1739, 9.4308 Å; angles 90.00, 111.09, 90.00 degrees
Last column: nearest neighbours and their distance in Å.
Sites, in units of the cell vectors:
Ag1 0.0635 0.2266 0.0972  6 Ag 2.88-2.94, 2 Sb 2.92-2.96
Ag2 0.0635 0.2734 0.5972  6 Ag 2.88-2.94, 2 Sb 2.92-2.96
Ag3 0.3062 0.7333 0.2217  2 Sb 2.81-2.85, 7 Ag 2.88-3.13
Ag4 0.3062 0.7667 0.7217  2 Sb 2.81-2.85, 7 Ag 2.88-3.13
Ag5 0.6938 0.2333 0.2783  2 Sb 2.81-2.85, 7 Ag 2.88-3.13
Ag6 0.6938 0.2667 0.7783  2 Sb 2.81-2.85, 7 Ag 2.88-3.13
Ag7 0.9365 0.7266 0.4028  6 Ag 2.88-2.94, 2 Sb 2.92-2.96
Ag8 0.9365 0.7734 0.9028  6 Ag 2.88-2.94, 2 Sb 2.92-2.96
Sb1 0.5000 0.0000 0.5000  8 Ag 2.81-2.96
Sb2 0.5000 0.5000 0.0000  8 Ag 2.81-2.96

crystal system = monoclinic

***

Which of them is the least stable? Correct choice: entry a.